First-principles (PBE) data for an optimized crystal structure of LiPa2MnN5, as listed in Alexandria.

Cell: 3.3174 7.0038 8.9310 Å, 90.00 90.00 103.70°
Last column: magnetic moment on the atom in μB.
Sites, in units of the cell vectors:
Mn1 0.7927 0.5853 0.5083  0.94
Pa1 0.1280 0.2561 0.2993  0.03
N1 0.7088 0.4176 0.8627  -0.02
N2 0.7087 0.4175 0.1536  -0.02
Pa2 0.1281 0.2562 0.7172  0.04
Pa3 0.8720 0.7439 0.7993  0.03
N3 0.2912 0.5824 0.3627  -0.02
Li1 0.4876 0.9751 0.5085  0.00
Li2 0.5124 0.0249 0.0085  0.00
Pa4 0.8719 0.7438 0.2172  0.04
N4 0.9187 0.8375 0.5080  0.01
N5 0.0813 0.1625 0.0080  0.01
N6 0.6387 0.2775 0.5083  0.00
N7 0.5000 0.9999 0.7582  -0.03
N8 0.5000 0.0001 0.2582  -0.03
N9 0.3613 0.7225 0.0083  0.00
Mn2 0.2073 0.4147 0.0083  0.94
N10 0.2913 0.5825 0.6536  -0.02

Computed properties:
total magnetization	0.111	μB per atom
E_form (uncorrected)	-22.00	kcal/mol of atoms
space-group type	Cmcm, No. 63
uncorrected energy	-160.58	eV/cell
DOS at the Fermi energy	3.95	states/eV/cell